# 1
Entry from Alexandria via LeMat-Bulk: a relaxed structure of ZnPtF (PBE).

Cell: 13.335 2.840 4.716 Å, 90.00 90.00 90.00°
Fractional positions:
F  0.751  0.500  0.447
F  0.749  0.000  0.947
F  0.251  0.000  0.947
F  0.249  0.500  0.447
Pt  0.000  0.000  0.620
Pt  0.500  0.500  0.120
Pt  0.500  0.000  0.599
Pt  0.000  0.500  0.099
Zn  0.847  0.000  0.289
Zn  0.153  0.000  0.289
Zn  0.653  0.500  0.789
Zn  0.347  0.500  0.789

Properties
Crystal system: orthorhombic
Distance to the lowest polymorph of the same formula in eV per atom: 0.008
Spin magnetization in Bohr magnetons per cell: 0.00

***

# 2
Entry from Alexandria via LeMat-Bulk: a relaxed structure of NaMn5I12 (PBE).

Cell: 7.236 7.251 15.398 Å, 89.98 89.96 60.07°
Fractional positions:
I  0.834  0.000  0.394
I  0.500  0.334  0.606
I  0.001  0.369  0.891
I  0.166  0.000  0.606
I  0.166  0.334  0.394
I  0.630  0.369  0.109
I  0.500  0.666  0.394
I  0.369  0.000  0.110
I  0.999  0.631  0.109
I  0.631  0.000  0.890
I  0.834  0.666  0.606
I  0.370  0.631  0.891
Mn  0.166  0.667  0.500
Mn  0.334  0.333  0.000
Mn  0.834  0.333  0.500
Mn  0.666  0.667  0.000
Mn  0.500  0.000  0.500
Na  0.000  0.000  0.000

Properties
Crystal system: monoclinic
E in eV/cell: -74.74
Spin magnetization in Bohr magnetons per cell: 13.90